VASP calculation (PBE) on crystalline Tb3HoGe2C at its relaxed geometry. Values from VASP.

The structure in Quantum ESPRESSO input format:
```
&SYSTEM
  ibrav = 0, nat = 7, ntyp = 4
/
ATOMIC_SPECIES
Tb 158.93 Tb.upf
Ho 164.93 Ho.upf
Ge 72.64 Ge.upf
C 12.01 C.upf
CELL_PARAMETERS angstrom
-2.626 3.853 0.417
-0.742 -0.001 -4.658
-4.526 -6.266 3.110
ATOMIC_POSITIONS crystal
Tb 0.000 0.500 0.000
Tb 0.168 0.168 0.336
Tb 0.832 0.832 0.664
Ho 0.500 0.000 0.000
Ge 0.636 0.636 0.273
Ge 0.364 0.364 0.727
C 0.000 0.000 0.000
```

Output
* calculated total energy: -41.42 eV per cell
* space group: Immm (71)
* volume: 24.10 Å³/atom